(1)
Y3Ho12Sc: relaxed, PBE.

Calculated values
**Volume**: 492 Å³ per cell
**Total energy**: -80.20 eV per formula unit
**Density of states at the Fermi level**: 1.369 states/eV per atom

Geometry as CIF:
```
data_Y3Ho12Sc
_chemical_formula_sum 'Y3 Ho12 Sc1'
_space_group_name_H-M_alt 'P 4/m m m'
_space_group_IT_number 123
_space_group_name_Hall '-P 4 2'
_cell_length_a 4.979
_cell_length_b 4.979
_cell_length_c 19.863
_cell_angle_alpha 90.00
_cell_angle_beta 90.00
_cell_angle_gamma 90.00
loop_
_atom_site_label
_atom_site_fract_x
_atom_site_fract_y
_atom_site_fract_z
_atom_site_occupancy
Y1 0.000 0.000 0.000 1
Y2 0.000 0.000 0.252 1
Ho1 0.000 0.500 0.126 1
Ho2 0.000 0.500 0.379 1
Ho3 0.500 0.500 0.000 1
Ho4 0.500 0.500 0.253 1
Ho5 0.500 0.500 0.500 1
Sc1 0.000 0.000 0.500 1
```

---

(2)
Ba3PmHo3Se8: relaxed, PBE.

Calculated values
**Formation energy from raw total energies**: -1.92 eV per atom
**Volume**: 1390 Å³ per cell
**Total energy**: -80.88 eV per formula unit
**Density of states at the Fermi level**: 0.239 states/eV per atom

Geometry as CIF:
```
data_Ba3PmHo3Se8
_chemical_formula_sum 'Ba9 Pm3 Ho9 Se24'
_space_group_name_H-M_alt 'R -3 m'
_space_group_IT_number 166
_space_group_name_Hall '-R 3 2"'
_cell_length_a 8.4397
_cell_length_b 8.4397
_cell_length_c 22.5332
_cell_angle_alpha 90.00
_cell_angle_beta 90.00
_cell_angle_gamma 120.00
loop_
_atom_site_label
_atom_site_fract_x
_atom_site_fract_y
_atom_site_fract_z
_atom_site_occupancy
Ba1 0.0000 0.5000 0.0000 1
Pm1 0.0000 0.0000 0.5000 1
Ho1 0.0000 0.5000 0.5000 1
Se1 0.0000 0.0000 0.2372 1
Se2 0.0098 0.5049 0.7621 1
```

---

(3)
SrPmAs4: relaxed, PBE.

Calculated values
**Volume**: 561 Å³ per cell
**Total energy**: -27.79 eV per formula unit
**Density of states at the Fermi level**: 0.262 states/eV per atom

Geometry as CIF:
```
data_SrPmAs4
_chemical_formula_sum 'Sr4 Pm4 As16'
_space_group_name_H-M_alt 'F -4 3 m'
_space_group_IT_number 216
_space_group_name_Hall 'F -4 2 3'
_cell_length_a 8.246
_cell_length_b 8.246
_cell_length_c 8.246
_cell_angle_alpha 90.00
_cell_angle_beta 90.00
_cell_angle_gamma 90.00
loop_
_atom_site_label
_atom_site_fract_x
_atom_site_fract_y
_atom_site_fract_z
_atom_site_occupancy
Sr1 0.000 0.000 0.000 1
Pm1 0.250 0.250 0.750 1
As1 0.125 0.125 0.375 1
```

---

(4)
Pa2MnBe3Ni12: relaxed, PBE.

Calculated values
**Volume**: 696 Å³ per cell
**Total energy**: -110.16 eV per formula unit
**Density of states at the Fermi level**: 0.540 states/eV per atom

Geometry as CIF:
```
data_Pa2MnBe3Ni12
_chemical_formula_sum 'Pa6 Mn3 Be9 Ni36'
_space_group_name_H-M_alt 'R -3 m'
_space_group_IT_number 166
_space_group_name_Hall '-R 3 2"'
_cell_length_a 8.2647
_cell_length_b 8.2647
_cell_length_c 11.7583
_cell_angle_alpha 90.00
_cell_angle_beta 90.00
_cell_angle_gamma 120.00
loop_
_atom_site_label
_atom_site_fract_x
_atom_site_fract_y
_atom_site_fract_z
_atom_site_occupancy
Pa1 0.0000 0.0000 0.1681 1
Mn1 0.0000 0.0000 0.5000 1
Be1 0.0000 0.5000 0.0000 1
Ni1 0.0010 0.5005 0.8109 1
Ni2 0.0098 0.5049 0.3905 1
```

---

(5)
PmNdS2: relaxed, PBE.

Calculated values
**Formation energy from raw total energies**: -1.98 eV per atom
**Energy above the lowest structure with this stoichiometry**: 0.052 eV per atom
**Volume**: 286 Å³ per cell
**Total energy**: -25.69 eV per formula unit
**Density of states at the Fermi level**: 0.192 states/eV per atom

Geometry as CIF:
```
data_PmNdS2
_chemical_formula_sum 'Pm3 Nd3 S6'
_space_group_name_H-M_alt 'R 3 m'
_space_group_IT_number 160
_space_group_name_Hall 'R 3 -2"'
_cell_length_a 3.9690
_cell_length_b 3.9690
_cell_length_c 20.9997
_cell_angle_alpha 90.00
_cell_angle_beta 90.00
_cell_angle_gamma 120.00
loop_
_atom_site_label
_atom_site_fract_x
_atom_site_fract_y
_atom_site_fract_z
_atom_site_occupancy
Pm1 0.0000 0.0000 0.0000 1
Nd1 0.0000 0.0000 0.8220 1
S1 0.0000 0.0000 0.2444 1
S2 0.0000 0.0000 0.4113 1
```

---

(6)
Ac5Sb4Te: relaxed, PBE.

Calculated values
**Formation energy from raw total energies**: -1.30 eV per atom
**Energy above the lowest structure with this stoichiometry**: 0.006 eV per atom
**Volume**: 776 Å³ per cell
**Total energy**: -53.19 eV per formula unit
**Density of states at the Fermi level**: 0.260 states/eV per atom

Geometry as CIF:
```
data_Ac5Sb4Te
_chemical_formula_sum 'Ac10 Sb8 Te2'
_space_group_name_H-M_alt 'I 4/m m m'
_space_group_IT_number 139
_space_group_name_Hall '-I 4 2'
_cell_length_a 4.786
_cell_length_b 4.786
_cell_length_c 33.872
_cell_angle_alpha 90.00
_cell_angle_beta 90.00
_cell_angle_gamma 90.00
loop_
_atom_site_label
_atom_site_fract_x
_atom_site_fract_y
_atom_site_fract_z
_atom_site_occupancy
Ac1 0.000 0.000 0.000 1
Ac2 0.000 0.000 0.200 1
Ac3 0.000 0.000 0.398 1
Sb1 0.000 0.000 0.099 1
Sb2 0.000 0.000 0.300 1
Te1 0.000 0.000 0.500 1
```

---

(7)
TbPmY6Er2: relaxed, PBE.

Calculated values
**Volume**: 1305 Å³ per cell
**Total energy**: -56.08 eV per formula unit
**Density of states at the Fermi level**: 1.573 states/eV per atom

Geometry as CIF:
```
data_TbPmY6Er2
_chemical_formula_sum 'Tb4 Pm4 Y24 Er8'
_space_group_name_H-M_alt 'C 1 2/c 1'
_space_group_IT_number 15
_cell_length_a 9.147
_cell_length_b 14.960
_cell_length_c 9.637
_cell_angle_alpha 90.00
_cell_angle_beta 98.31
_cell_angle_gamma 90.00
loop_
_space_group_symop_operation_xyz
'x,y,z'
'-x,-y,-z'
'-x,y,-z+1/2'
'x,-y,z+1/2'
'x+1/2,y+1/2,z'
'-x+1/2,-y+1/2,-z'
'-x+1/2,y+1/2,-z+1/2'
'x+1/2,-y+1/2,z+1/2'
loop_
_atom_site_label
_atom_site_fract_x
_atom_site_fract_y
_atom_site_fract_z
_atom_site_occupancy
Tb1 0.000 0.025 0.250 1
Pm1 0.000 0.407 0.750 1
Y1 0.064 0.183 0.944 1
Y2 0.099 0.394 0.118 1
Y3 0.205 0.225 0.318 1
Er1 0.244 0.050 0.547 1
```

---

(8)
Dy4HgSb2: relaxed, PBE.

Calculated values
**Formation energy from raw total energies**: -0.60 eV per atom
**Volume**: 434 Å³ per cell
**Total energy**: -31.17 eV per formula unit
**Density of states at the Fermi level**: 0.838 states/eV per atom

Geometry as CIF:
```
data_Dy4HgSb2
_chemical_formula_sum 'Dy8 Hg2 Sb4'
_space_group_name_H-M_alt 'C 1 2/m 1'
_space_group_IT_number 12
_cell_length_a 15.550
_cell_length_b 4.198
_cell_length_c 7.517
_cell_angle_alpha 90.00
_cell_angle_beta 117.85
_cell_angle_gamma 90.00
loop_
_space_group_symop_operation_xyz
'x,y,z'
'-x,-y,-z'
'-x,y,-z'
'x,-y,z'
'x+1/2,y+1/2,z'
'-x+1/2,-y+1/2,-z'
'-x+1/2,y+1/2,-z'
'x+1/2,-y+1/2,z'
loop_
_atom_site_label
_atom_site_fract_x
_atom_site_fract_y
_atom_site_fract_z
_atom_site_occupancy
Dy1 0.115 0.000 0.258 1
Dy2 0.121 0.500 0.827 1
Hg1 0.000 0.000 0.500 1
Sb1 0.240 0.000 0.728 1
```

---

(9)
CuTe3: relaxed, PBE.

Calculated values
**Formation energy from raw total energies**: 0.23 eV per atom
**Volume**: 572 Å³ per cell
**Total energy**: -12.61 eV per formula unit
**Density of states at the Fermi level**: 0.378 states/eV per atom

Geometry as CIF:
```
data_CuTe3
_chemical_formula_sum 'Cu4 Te12'
_space_group_name_H-M_alt 'C m c m'
_space_group_IT_number 63
_space_group_name_Hall '-C 2c 2'
_cell_length_a 8.495
_cell_length_b 15.097
_cell_length_c 4.464
_cell_angle_alpha 90.00
_cell_angle_beta 90.00
_cell_angle_gamma 90.00
loop_
_atom_site_label
_atom_site_fract_x
_atom_site_fract_y
_atom_site_fract_z
_atom_site_occupancy
Cu1 0.000 0.154 0.250 1
Te1 0.000 0.430 0.250 1
Te2 0.214 0.318 0.750 1
```

---

(10)
Ce2HoGe4Pt3: relaxed, PBE.

Calculated values
**Volume**: 208 Å³ per cell
**Total energy**: -61.90 eV per formula unit
**Density of states at the Fermi level**: 1.279 states/eV per atom

Geometry as CIF:
```
data_Ce2HoGe4Pt3
_chemical_formula_sum 'Ce2 Ho1 Ge4 Pt3'
_space_group_name_H-M_alt 'P -4 m 2'
_space_group_IT_number 115
_cell_length_a 4.316
_cell_length_b 4.316
_cell_length_c 11.149
_cell_angle_alpha 90.00
_cell_angle_beta 90.00
_cell_angle_gamma 90.00
loop_
_space_group_symop_operation_xyz
'x,y,z'
'y,-x,-z'
'-x,-y,z'
'-y,x,-z'
'-x,y,z'
'-y,-x,-z'
'x,-y,z'
'y,x,-z'
loop_
_atom_site_label
_atom_site_fract_x
_atom_site_fract_y
_atom_site_fract_z
_atom_site_occupancy
Ce1 0.000 0.500 0.231 1
Ho1 0.000 0.000 0.500 1
Ge1 0.000 0.000 0.000 1
Ge2 0.000 0.500 0.661 1
Ge3 0.500 0.500 0.000 1
Pt1 0.000 0.500 0.883 1
Pt2 0.500 0.500 0.500 1
```

---

(11)
AcCeTh2S4: relaxed, PBE.

Calculated values
**Formation energy from raw total energies**: -1.91 eV per atom
**Volume**: 196 Å³ per cell
**Total energy**: -56.65 eV per formula unit
**Density of states at the Fermi level**: 1.092 states/eV per atom

Geometry as CIF:
```
data_AcCeTh2S4
_chemical_formula_sum 'Ac1 Ce1 Th2 S4'
_space_group_name_H-M_alt 'P 1 2/m 1'
_space_group_IT_number 10
_cell_length_a 7.086
_cell_length_b 4.110
_cell_length_c 7.123
_cell_angle_alpha 90.00
_cell_angle_beta 109.45
_cell_angle_gamma 90.00
loop_
_space_group_symop_operation_xyz
'x,y,z'
'-x,-y,-z'
'-x,y,-z'
'x,-y,z'
loop_
_atom_site_label
_atom_site_fract_x
_atom_site_fract_y
_atom_site_fract_z
_atom_site_occupancy
Ac1 0.000 0.000 0.000 1
Ce1 0.500 0.500 0.000 1
Th1 0.000 0.500 0.500 1
Th2 0.500 0.000 0.500 1
S1 0.256 0.000 0.746 1
S2 0.261 0.500 0.260 1
```

---

(12)
PmY3Ho2P6: relaxed, PBE.

Calculated values
**Volume**: 554 Å³ per cell
**Total energy**: -85.06 eV per formula unit
**Density of states at the Fermi level**: 0.137 states/eV per atom

Geometry as CIF:
```
data_PmY3Ho2P6
_chemical_formula_sum 'Pm2 Y6 Ho4 P12'
_space_group_name_H-M_alt 'C 1 2/m 1'
_space_group_IT_number 12
_cell_length_a 6.973
_cell_length_b 12.076
_cell_length_c 6.973
_cell_angle_alpha 90.00
_cell_angle_beta 109.46
_cell_angle_gamma 90.00
loop_
_space_group_symop_operation_xyz
'x,y,z'
'-x,-y,-z'
'-x,y,-z'
'x,-y,z'
'x+1/2,y+1/2,z'
'-x+1/2,-y+1/2,-z'
'-x+1/2,y+1/2,-z'
'x+1/2,-y+1/2,z'
loop_
_atom_site_label
_atom_site_fract_x
_atom_site_fract_y
_atom_site_fract_z
_atom_site_occupancy
Pm1 0.000 0.000 0.000 1
Y1 0.000 0.166 0.500 1
Y2 0.000 0.500 0.500 1
Ho1 0.000 0.333 0.000 1
P1 0.246 0.500 0.251 1
P2 0.247 0.331 0.749 1
```

---

no.,total magnetization (μB/atom)
1,0.00
2,0.00
3,0.00
4,0.22
5,0.00
6,0.00
7,0.00
8,0.00
9,0.00
10,0.12
11,0.08
12,0.00